Computed, not measured: a relaxed structure of Al2Bi2Ru at the GGA-PBE level of DFT.

Computed properties:
Energy relative to the lowest polymorph listed for this composition in eV per formula unit: 0.000
Calculated formation energy in meV/atom: 240
DFT total energy in eV/atom: -4.6650

Unit cell a=6.6724 b=6.6724 c=4.9423 alpha=90.00 beta=90.00 gamma=90.00
Space group P4/mbm (No. 127)
One atom of each set of equivalent atoms:
Al1 0.1494 0.3506 0.0000 x4
Bi1 0.1746 0.6746 0.5000 x4
Ru1 0.0000 0.0000 0.0000 x2